## Be5Cu4 (SCAN)

Data for Be5Cu4 at its PBEsol-relaxed geometry.

POSCAR file:
```
Be5Cu4
1.0
-4.3853 -0.9101 -1.1126
-0.4192 -4.1356 5.0355
-1.5139 6.2993 0.8140
Be Cu
10 8
direct
0.2500 0.3065 0.0000
0.2500 0.0000 0.3065
0.5000 0.3333 0.6667
0.0000 0.6667 0.3333
0.5000 0.6667 0.3333
0.7500 0.3065 0.3065
0.7500 0.0000 0.6935
0.7500 0.6935 0.0000
0.2500 0.6935 0.6935
0.0000 0.3333 0.6667
0.7500 0.3656 0.0000
0.2500 0.3656 0.3656
0.7500 0.6344 0.6344
0.2500 0.6344 0.0000
0.7500 0.0000 0.3656
0.5000 0.0000 0.0000
0.2500 0.0000 0.6344
0.0000 0.0000 0.0000
```

Results
The value obtained for the total moment is 0.00 μB per formula unit.

---

## BeCu (SCAN)

Data for BeCu at its PBEsol-relaxed geometry.

POSCAR file:
```
BeCu
1.0
2.6036 0.0000 0.0000
0.0000 2.6036 0.0000
0.0000 0.0000 5.6039
Be Cu
2 2
direct
0.0000 0.5000 0.8933
0.5000 0.0000 0.1067
0.5000 0.0000 0.6563
0.0000 0.5000 0.3437
```

Results
The value obtained for the total moment is 0.00 μB per formula unit.

---

## BeCu (SCAN)

Data for BeCu at its PBEsol-relaxed geometry.

POSCAR file:
```
BeCu
1.0
2.5110 0.0000 0.0000
-1.2555 4.1400 -0.0185
0.0000 -1.9585 5.5170
Be Cu
3 3
direct
0.0130 0.0260 0.0143
0.3319 0.6638 0.7015
0.3922 0.7844 0.2439
0.7185 0.4370 0.9368
0.0207 0.0414 0.5839
0.6903 0.3807 0.3529
```

Results
The value obtained for the total moment is 0.00 μB per formula unit.

---

## BeCu (SCAN)

Data for BeCu at its PBEsol-relaxed geometry.

POSCAR file:
```
BeCu
1.0
-0.9687 2.2357 2.9029
-4.2625 -0.3282 -1.1697
1.7514 -2.9222 2.8350
Cu Be
3 3
direct
0.5000 0.6667 0.3333
0.0000 0.0000 0.0000
0.5000 0.3333 0.6667
0.0000 0.0000 0.5000
0.0000 0.5000 0.5000
0.0000 0.5000 0.0000
```

Results
The value obtained for the total moment is 0.00 μB per formula unit.

---

no.,energy of formation (eV/atom)
1,-0.137
2,-0.095
3,-0.143
4,0.131